Entry 1:
Crystalline PaZn2Sn2 at its relaxed geometry, computed with GGA-PBE.

Summary:
E_form, eV per atom: -0.166
Density of states at the Fermi level, states/eV/cell: 9.97

abc: 4.427 4.456 11.187
angles: 90.00 101.41 90.00
Fractional coordinates of all 10 atoms:
Zn: 0.470 0.750 0.940
Zn: 0.963 0.250 0.927
Sn: 0.250 0.750 0.500
Pa: 0.637 0.750 0.274
Zn: 0.037 0.750 0.073
Sn: 0.877 0.750 0.754
Sn: 0.750 0.250 0.500
Zn: 0.530 0.250 0.060
Pa: 0.363 0.250 0.726
Sn: 0.123 0.250 0.246

---

Entry 2:
Crystalline TiBe4Os at its relaxed geometry, computed with GGA-PBE.

Summary:
E_form, eV per atom: -0.554

abc: 4.395 4.395 4.395
angles: 60.00 60.00 60.00
Fractional coordinates of all 6 atoms:
Be: 0.123 0.626 0.626
Be: 0.626 0.626 0.626
Be: 0.626 0.626 0.123
Ti: 0.250 0.250 0.250
Os: 0.000 0.000 0.000
Be: 0.626 0.123 0.626

---

Entry 3:
Crystalline Cd12In2Hg at its relaxed geometry, computed with GGA-PBE.

Summary:
E_form, eV per atom: 0.058
Density of states at the Fermi level, states/eV/cell: 8.52

abc: 6.003 6.003 21.098
angles: 90.00 90.00 90.00
Fractional coordinates of all 30 atoms:
Cd: 0.252 0.248 0.102
In: 0.000 0.500 0.733
Cd: 0.748 0.752 0.102
Cd: 0.676 0.824 0.565
Cd: 0.324 0.176 0.565
Hg: 0.500 0.000 0.000
Cd: 0.000 0.000 0.663
Cd: 0.252 0.752 0.898
Cd: 0.324 0.824 0.435
Cd: 0.748 0.248 0.898
Cd: 0.500 0.500 0.203
Hg: 0.000 0.500 0.000
In: 0.000 0.500 0.267
Cd: 0.000 0.000 0.337
Cd: 0.176 0.324 0.435
Cd: 0.500 0.500 0.663
Cd: 0.500 0.500 0.337
Cd: 0.000 0.000 0.203
Cd: 0.248 0.252 0.898
Cd: 0.824 0.324 0.565
In: 0.500 0.000 0.267
Cd: 0.176 0.676 0.565
In: 0.500 0.000 0.733
Cd: 0.752 0.252 0.102
Cd: 0.000 0.000 0.797
Cd: 0.676 0.176 0.435
Cd: 0.500 0.500 0.797
Cd: 0.752 0.748 0.898
Cd: 0.248 0.748 0.102
Cd: 0.824 0.676 0.435

---

Entry 4:
Crystalline BaIn2P at its relaxed geometry, computed with GGA-PBE.

Summary:
E_form, eV per atom: -0.144
Density of states at the Fermi level, states/eV/cell: 3.80

abc: 5.458 5.458 5.458
angles: 60.00 60.00 60.00
Fractional coordinates of all 4 atoms:
In: 0.250 0.250 0.250
Ba: 0.500 0.500 0.500
P: 0.750 0.750 0.750
In: 0.000 0.000 0.000

---

Entry 5:
Crystalline DyU4S5 at its relaxed geometry, computed with GGA-PBE.

Summary:
Formation energy (no corrections), eV per atom: -1.49
Density of states at the Fermi level, states/eV/cell: 19.42

abc: 3.833 5.468 10.338
angles: 105.34 100.68 90.00
Fractional coordinates of all 10 atoms:
S: 0.400 0.900 0.800
U: 0.799 0.799 0.598
S: 0.199 0.699 0.399
U: 0.600 0.600 0.201
S: 0.600 0.100 0.200
U: 0.400 0.400 0.799
U: 0.201 0.201 0.402
S: 0.000 0.500 0.000
Dy: 0.000 0.000 0.000
S: 0.801 0.301 0.601

---

Entry 6:
Crystalline Nb2PPbI at its relaxed geometry, computed with GGA-PBE.

Summary:
Formation energy (no corrections), eV per atom: 1.72
Density of states at the Fermi level, states/eV/cell: 5.77

abc: 5.511 5.044 5.511
angles: 90.00 90.00 90.00
Fractional coordinates of all 5 atoms:
I: 0.500 0.500 0.500
Nb: 0.500 0.000 0.000
Nb: 0.000 0.000 0.500
Pb: 0.000 0.000 0.000
P: 0.000 0.500 0.000

---

Entry 7:
Crystalline Nd3CuSi2 at its relaxed geometry, computed with GGA-PBE.

Summary:
Formation energy (no corrections), eV per atom: -0.57
Density of states at the Fermi level, states/eV/cell: 22.03

abc: 4.265 11.795 11.743
angles: 90.00 90.00 90.00
Fractional coordinates of all 24 atoms:
Cu: 0.250 0.132 0.131
Cu: 0.250 0.368 0.631
Nd: 0.750 0.877 0.441
Cu: 0.750 0.632 0.369
Nd: 0.250 0.377 0.059
Cu: 0.750 0.868 0.869
Nd: 0.250 0.123 0.559
Nd: 0.250 0.063 0.877
Nd: 0.750 0.195 0.296
Nd: 0.750 0.305 0.796
Si: 0.250 0.819 0.970
Si: 0.750 0.991 0.693
Si: 0.250 0.681 0.470
Si: 0.750 0.319 0.530
Nd: 0.750 0.563 0.623
Nd: 0.250 0.695 0.204
Nd: 0.250 0.437 0.377
Nd: 0.750 0.623 0.941
Si: 0.250 0.009 0.307
Nd: 0.250 0.805 0.704
Nd: 0.750 0.937 0.123
Si: 0.750 0.181 0.030
Si: 0.250 0.491 0.807
Si: 0.750 0.509 0.193

---

Entry 8:
Crystalline Sb2Pb2Au at its relaxed geometry, computed with GGA-PBE.

Summary:
Formation energy (no corrections), eV per atom: 0.17
Relative energy among the computed polymorphs, eV/atom: 0.149
Density of states at the Fermi level, states/eV/cell: 2.72

abc: 4.203 4.203 9.062
angles: 76.59 76.59 90.00
Fractional coordinates of all 5 atoms:
Sb: 0.250 0.750 0.500
Au: 0.000 0.000 0.000
Pb: 0.407 0.407 0.186
Sb: 0.750 0.250 0.500
Pb: 0.593 0.593 0.814